Entry 1:
Below is a relaxed structure of TlCu2Mo, with properties calculated at the PBE level.

The calculation puts the mass density at 10.17 Mg/m³. Its density of states at the Fermi level is 1.8 states/eV/f.u. As for the total energy: -4.50 eV/atom.

a = 7.0633 Å, b = 7.0633 Å, c = 5.5944 Å
α = 90.00°, β = 90.00°, γ = 90.00°
Last column: nearest neighbours and their distance in Å.
Space group I-42d (No. 122)
One atom of each set of equivalent atoms:
Tl 0.0000 0.0000 0.0000 (multiplicity 4)  4 Cu 2.66, 2 Mo 2.80
Cu 0.2363 0.2500 0.6250 (multiplicity 8)  2 Mo 2.53, 2 Tl 2.66, 2 Cu 2.80
Mo 0.0000 0.0000 0.5000 (multiplicity 4)  4 Cu 2.53, 2 Tl 2.80

---

Entry 2:
Below is a relaxed structure of NdSbSe3, with properties calculated at the PBE level.

The calculation puts the mass density at 6.31 Mg/m³. The uncorrected formation energy is -1014 meV/atom. As for the total energy: -4.88 eV/atom.

a = 8.0759 Å, b = 4.2932 Å, c = 15.2675 Å
α = 90.00°, β = 90.00°, γ = 90.00°
Last column: nearest neighbours and their distance in Å.
Space group Pnma (No. 62)
One atom of each set of equivalent atoms:
Nd 0.0750 0.2500 0.1455 (multiplicity 4)  7 Se 3.06-3.13
Sb 0.1101 0.7500 0.4293 (multiplicity 4)  3 Se 2.61-2.81
Se 0.0385 0.7500 0.6596 (multiplicity 4)  2 Sb 2.81, 2 Nd 3.11-3.13
Se 0.1701 0.7500 0.0119 (multiplicity 4)  2 Sb 3.06, 3 Nd 3.06-3.11
Se 0.1767 0.2500 0.8008 (multiplicity 4)  1 Sb 2.61

---

The lowest mass density belongs to which entry? NdSbSe3